A | The following is a DFT calculation (PBE) of a geometry-optimized Te2MoRuN structure.

Cell lengths 5.3880, 5.3880, 3.6420 Å; angles 90.00, 90.00, 90.00 degrees
Sites, in units of the cell vectors:
Te  0.0000  0.5000  0.0000
Te  0.5000  0.0000  0.0000
Mo  0.0000  0.0000  0.5000
Ru  0.5000  0.5000  0.0000
N  0.5000  0.5000  0.5000

Properties
volume: 105.7 Å³/f.u.
size of the total moment: 3.205 μB per cell


B | The following is a DFT calculation (PBE) of a geometry-optimized Te2MoRuN structure.

Cell lengths 5.3582, 5.3582, 3.7395 Å; angles 90.00, 90.00, 90.00 degrees
Sites, in units of the cell vectors:
Te  0.0000  0.5000  0.0000
Te  0.5000  0.0000  0.0000
Mo  0.0000  0.0000  0.0000
Ru  0.5000  0.5000  0.5000
N  0.0000  0.0000  0.5000

Properties
volume: 107.4 Å³/f.u.
size of the total moment: 1.487 μB per cell


Stability ranking, top entry: A; the second entry is 111 meV/atom less favorable.


A | The following is a DFT calculation (PBE) of a geometry-optimized TeMoRuN2 structure.

Cell lengths 3.8787, 3.8787, 5.7343 Å; angles 90.00, 90.00, 90.00 degrees
Sites, in units of the cell vectors:
Te  0.0000  0.0000  0.0000
Mo  0.5000  0.5000  0.0000
Ru  0.0000  0.0000  0.5000
N  0.0000  0.5000  0.5000
N  0.5000  0.0000  0.5000

Properties
volume: 86.3 Å³/f.u.
size of the total moment: 3.131 μB per cell


B | The following is a DFT calculation (PBE) of a geometry-optimized TeMoRuN2 structure.

Cell lengths 3.8913, 3.8913, 5.7944 Å; angles 90.00, 90.00, 90.00 degrees
Sites, in units of the cell vectors:
Te  0.0000  0.0000  0.0000
Mo  0.0000  0.0000  0.5000
Ru  0.5000  0.5000  0.0000
N  0.0000  0.5000  0.5000
N  0.5000  0.0000  0.5000

Properties
volume: 87.7 Å³/f.u.
size of the total moment: 2.311 μB per cell


Stability ranking, top entry: B; the second entry is 289 meV/atom less favorable.


A | The following is a DFT calculation (PBE) of a geometry-optimized Mo2SN structure.

Cell lengths 4.0675, 4.0675, 4.0675 Å; angles 60.00, 60.00, 60.00 degrees
Sites, in units of the cell vectors:
Mo  0.2500  0.2500  0.2500
Mo  0.7500  0.7500  0.7500
S  0.0000  0.0000  0.0000
N  0.5000  0.5000  0.5000

Properties
volume: 47.6 Å³/f.u.
size of the total moment: 0.000 μB per cell


B | The following is a DFT calculation (PBE) of a geometry-optimized Mo2SN structure.

Cell lengths 5.9916, 5.9916, 5.9916 Å; angles 129.45, 129.45, 74.29 degrees
Sites, in units of the cell vectors:
Mo  0.0683  0.6250  0.9433
Mo  0.3750  0.3183  0.4433
Mo  0.6817  0.1250  0.0567
Mo  0.8750  0.9317  0.5567
S  0.2500  0.7500  0.5000
S  0.5000  0.5000  0.0000
N  0.0000  0.0000  0.0000
N  0.7500  0.2500  0.5000

Properties
volume: 62.5 Å³/f.u.
size of the total moment: 2.864 μB per cell


Stability ranking, top entry: B; the second entry is 310 meV/atom less favorable.


A | The following is a DFT calculation (PBE) of a geometry-optimized MoS2N2 structure.

Cell lengths 3.8312, 3.8312, 3.8993 Å; angles 90.00, 90.00, 90.00 degrees
Sites, in units of the cell vectors:
Mo  0.0000  0.0000  0.0000
S  0.0000  0.5000  0.5000
S  0.5000  0.0000  0.5000
N  0.5000  0.5000  0.0000
N  0.5000  0.5000  0.5000

Properties
volume: 57.2 Å³/f.u.
size of the total moment: 1.172 μB per cell


B | The following is a DFT calculation (PBE) of a geometry-optimized MoS2N2 structure.

Cell lengths 3.2310, 3.2310, 11.6367 Å; angles 96.75, 96.75, 59.98 degrees
Sites, in units of the cell vectors:
Mo  0.0000  0.0000  0.0000
S  0.2949  0.2949  0.8638
S  0.7051  0.7051  0.1362
N  0.4823  0.4823  0.4518
N  0.5177  0.5177  0.5482

Properties
volume: 104.2 Å³/f.u.
size of the total moment: 0.000 μB per cell


C | The following is a DFT calculation (PBE) of a geometry-optimized MoS2N2 structure.

Cell lengths 3.8414, 3.8414, 5.2370 Å; angles 90.00, 90.00, 90.00 degrees
Sites, in units of the cell vectors:
Mo  0.0000  0.0000  0.0000
S  0.0000  0.0000  0.5000
S  0.5000  0.5000  0.5000
N  0.0000  0.5000  0.0000
N  0.5000  0.0000  0.0000

Properties
volume: 77.3 Å³/f.u.
size of the total moment: 0.683 μB per cell


D | The following is a DFT calculation (PBE) of a geometry-optimized MoS2N2 structure.

Cell lengths 4.7661, 4.7661, 3.8626 Å; angles 90.00, 90.00, 90.00 degrees
Sites, in units of the cell vectors:
Mo  0.0000  0.0000  0.0000
S  0.0000  0.5000  0.0000
S  0.5000  0.0000  0.0000
N  0.0000  0.0000  0.5000
N  0.5000  0.5000  0.5000

Properties
volume: 87.7 Å³/f.u.
size of the total moment: 1.815 μB per cell


Stability ranking, top entry: B; the second entry is 1116 meV/atom less favorable.


A | The following is a DFT calculation (PBE) of a geometry-optimized MoSeSN2 structure.

Cell lengths 3.8811, 3.8811, 5.1747 Å; angles 90.00, 90.00, 90.00 degrees
Sites, in units of the cell vectors:
Mo  0.0000  0.0000  0.0000
Se  0.5000  0.5000  0.5000
S  0.0000  0.0000  0.5000
N  0.0000  0.5000  0.0000
N  0.5000  0.0000  0.0000

Properties
volume: 77.9 Å³/f.u.
size of the total moment: 0.053 μB per cell


B | The following is a DFT calculation (PBE) of a geometry-optimized MoSeSN2 structure.

Cell lengths 3.6989, 3.6989, 4.7754 Å; angles 90.00, 90.00, 90.00 degrees
Sites, in units of the cell vectors:
Mo  0.0000  0.0000  0.0000
Se  0.5000  0.5000  0.0000
S  0.5000  0.5000  0.5000
N  0.0000  0.5000  0.5000
N  0.5000  0.0000  0.5000

Properties
volume: 65.3 Å³/f.u.
size of the total moment: 2.042 μB per cell


Stability ranking, top entry: A; the second entry is 1041 meV/atom less favorable.


A | The following is a DFT calculation (PBE) of a geometry-optimized SnMoSN2 structure.

Cell lengths 3.9807, 3.9807, 5.0190 Å; angles 90.00, 90.00, 90.00 degrees
Sites, in units of the cell vectors:
Sn  0.0000  0.0000  0.0000
Mo  0.5000  0.5000  0.5000
S  0.5000  0.5000  0.0000
N  0.0000  0.5000  0.5000
N  0.5000  0.0000  0.5000

Properties
volume: 79.5 Å³/f.u.
size of the total moment: 0.000 μB per cell


B | The following is a DFT calculation (PBE) of a geometry-optimized SnMoSN2 structure.

Cell lengths 4.0806, 4.0806, 5.0853 Å; angles 90.00, 90.00, 90.00 degrees
Sites, in units of the cell vectors:
Sn  0.0000  0.0000  0.0000
Mo  0.5000  0.5000  0.5000
S  0.0000  0.0000  0.5000
N  0.0000  0.5000  0.0000
N  0.5000  0.0000  0.0000

Properties
volume: 84.7 Å³/f.u.
size of the total moment: 1.983 μB per cell


Stability ranking, top entry: A; the second entry is 1263 meV/atom less favorable.